Entry from Alexandria via LeMat-Bulk: crystalline Ce3Pr4NdN8 at its relaxed geometry (PBE-GGA).

Cell and atoms, written as CIF:
```
data_Ce3Pr4NdN8
_symmetry_space_group_name_H-M 'R -3 m'
_symmetry_Int_Tables_number 166
_symmetry_space_group_name_Hall '-R 3 2"'
_cell_length_a 7.2626
_cell_length_b 7.2626
_cell_length_c 17.8055
_cell_angle_alpha 90.00
_cell_angle_beta 90.00
_cell_angle_gamma 120.00
loop_
_atom_site_label
_atom_site_type_symbol
_atom_site_fract_x
_atom_site_fract_y
_atom_site_fract_z
_atom_site_occupancy
Ce1 Ce 0.0000 0.5000 0.0000 1
Pr1 Pr 0.0000 0.0000 0.5000 1
Pr2 Pr 0.0000 0.5000 0.5000 1
Nd1 Nd 0.0000 0.0000 0.0000 1
N1 N 0.0000 0.0000 0.2562 1
N2 N 0.0084 0.5042 0.2552 1
```

Total magnetic moment   0.00 μB per cell
D(E_F)   0.514 states/eV/atom
Total energy   -8.17 eV per atom
Formation energy without anion corrections   -22.44 eV/f.u.